First-principles (GGA-PBEsol) data for a geometry-optimized CrNi4 structure, as listed in the Alexandria database.

Values from the calculation:
The value obtained for the electronic total energy is -35.01 eV/f.u. The calculation puts the energy relative to the elements at -3 kJ per mole of atoms.

a = 5.5008 Å, b = 5.5008 Å, c = 3.4298 Å
α = 90.00°, β = 90.00°, γ = 90.00°
Last column: nearest neighbours and their distance in Å.
Space group I4/m (No. 87)
Symmetry-distinct sites (fractional):
1 Cr 0.0000 0.0000 0.0000 [2 per cell]  12 Ni 2.43-2.46
2 Ni 0.1010 0.2972 0.5000 [8 per cell]  9 Ni 2.43-2.49, 3 Cr 2.43-2.46

***

First-principles (GGA-PBEsol) data for a geometry-optimized Zn2IrPb structure, as listed in the Alexandria database.

Values from the calculation:
The value obtained for the electronic total energy is -16.69 eV/f.u. The calculation puts the energy relative to the elements at 7 kJ per mole of atoms.

a = 3.1224 Å, b = 3.1209 Å, c = 7.2896 Å
α = 90.00°, β = 90.63°, γ = 90.00°
Last column: nearest neighbours and their distance in Å.
Space group P2/m (No. 10)
Symmetry-distinct sites (fractional):
1 Zn 0.0045 0.0000 0.1857 [2 per cell]  4 Ir 2.59, 1 Zn 2.71
2 Ir 0.5000 0.5000 0.0000 [1 per cell]  8 Zn 2.59
3 Pb 0.5000 0.5000 0.5000 [1 per cell]  4 Pb 3.12, 8 Zn 3.16-3.20

***

First-principles (GGA-PBEsol) data for a geometry-optimized RbCaS3 structure, as listed in the Alexandria database.

Values from the calculation:
The calculation puts the formation energy from raw total energies at -0.540 eV per atom. The value obtained for the electronic total energy is -19.01 eV/f.u.

a = 5.3357 Å, b = 5.3357 Å, c = 5.3357 Å
α = 90.00°, β = 90.00°, γ = 90.00°
Last column: nearest neighbours and their distance in Å.
Space group Pm-3m (No. 221)
Symmetry-distinct sites (fractional):
1 Rb 0.0000 0.0000 0.0000 [1 per cell]  12 S 3.77
2 Ca 0.5000 0.5000 0.5000 [1 per cell]  6 S 2.67
3 S 0.0000 0.5000 0.5000 [3 per cell]  2 Ca 2.67

***

First-principles (GGA-PBEsol) data for a geometry-optimized ReAs2BrN structure, as listed in the Alexandria database.

Values from the calculation:
The calculation puts the formation energy from raw total energies at 1.346 eV per atom. The value obtained for the electronic total energy is -27.21 eV/f.u.

a = 4.1664 Å, b = 4.1664 Å, c = 4.3147 Å
α = 90.00°, β = 90.00°, γ = 90.00°
Last column: nearest neighbours and their distance in Å.
Space group P4/mmm (No. 123)
Symmetry-distinct sites (fractional):
1 Re 0.0000 0.0000 0.0000 [1 per cell]  4 Br 2.95, 8 As 3.00
2 As 0.0000 0.5000 0.5000 [2 per cell]  2 N 2.08
3 Br 0.5000 0.5000 0.0000 [1 per cell]  2 N 2.16
4 N 0.5000 0.5000 0.5000 [1 per cell]  4 As 2.08, 2 Br 2.16

***

First-principles (GGA-PBEsol) data for a geometry-optimized In3GaN4 structure, as listed in the Alexandria database.

Values from the calculation:
The calculation puts the formation energy from raw total energies at -0.128 eV per atom. The value obtained for the electronic total energy is -47.42 eV/f.u.

a = 3.4472 Å, b = 3.4472 Å, c = 11.2379 Å
α = 90.00°, β = 90.00°, γ = 120.00°
Last column: nearest neighbours and their distance in Å.
Space group P3m1 (No. 156)
Symmetry-distinct sites (fractional):
1 In 0.0000 0.0000 0.0000 [1 per cell]  4 N 2.13-2.18
2 In 0.0000 0.0000 0.4811 [1 per cell]  4 N 2.13-2.15
3 In 0.3333 0.6667 0.7405 [1 per cell]  4 N 2.13-2.15
4 Ga 0.3333 0.6667 0.2430 [1 per cell]  4 N 1.93-2.07
5 N 0.0000 0.0000 0.1937 [1 per cell]  3 Ga 2.07, 1 In 2.18
6 N 0.0000 0.0000 0.6726 [1 per cell]  4 In 2.13-2.15
7 N 0.3333 0.6667 0.4145 [1 per cell]  1 Ga 1.93, 3 In 2.13
8 N 0.3333 0.6667 0.9319 [1 per cell]  4 In 2.13-2.15

***

First-principles (GGA-PBEsol) data for a geometry-optimized MnAuSe2 structure, as listed in the Alexandria database.

Values from the calculation:
The calculation puts the formation energy from raw total energies at -0.203 eV per atom. The value obtained for the electronic total energy is -22.20 eV/f.u.

a = 3.4154 Å, b = 3.4154 Å, c = 22.8781 Å
α = 90.00°, β = 90.00°, γ = 120.00°
Last column: nearest neighbours and their distance in Å.
Space group R-3m (No. 166, hexagonal axes)
Symmetry-distinct sites (fractional):
1 Mn 0.0000 0.0000 0.0000 [3 per cell]  6 Se 2.40
2 Au 0.0000 0.0000 0.5000 [3 per cell]  2 Se 2.44
3 Se 0.0000 0.0000 0.3934 [6 per cell]  3 Mn 2.40, 1 Au 2.44

***

First-principles (GGA-PBEsol) data for a geometry-optimized CsRb2ErCl6 structure, as listed in the Alexandria database.

Values from the calculation:
The calculation puts the formation energy from raw total energies at -2.044 eV per atom. The value obtained for the electronic total energy is -40.40 eV/f.u.

a = 11.5354 Å, b = 11.5354 Å, c = 11.5354 Å
α = 90.00°, β = 90.00°, γ = 90.00°
Last column: nearest neighbours and their distance in Å.
Space group Fm-3m (No. 225)
Symmetry-distinct sites (fractional):
1 Cs 0.0000 0.0000 0.0000 [4 per cell]  6 Cl 3.19
2 Rb 0.2500 0.2500 0.2500 [8 per cell]  12 Cl 4.09
3 Er 0.0000 0.0000 0.5000 [4 per cell]  6 Cl 2.58
4 Cl 0.0000 0.0000 0.2766 [24 per cell]  1 Er 2.58

***

First-principles (GGA-PBEsol) data for a geometry-optimized BeZnAg2 structure, as listed in the Alexandria database.

Values from the calculation:
The energy above the most stable polymorph in this dataset is 0.014 eV/atom. The value obtained for the electronic total energy is -11.96 eV/f.u. The calculation puts the energy relative to the elements at 6 kJ per mole of atoms.

a = 2.8106 Å, b = 4.0313 Å, c = 5.0880 Å
α = 90.00°, β = 106.01°, γ = 90.00°
Last column: nearest neighbours and their distance in Å.
Space group Pm (No. 6)
Symmetry-distinct sites (fractional):
1 Be 0.0000 0.0000 0.0000 [1 per cell]  2 Zn 2.42, 5 Ag 2.53-2.62
2 Zn 0.1349 0.5000 0.2729 [1 per cell]  2 Be 2.42, 7 Ag 2.64-2.66
3 Ag 0.4056 0.5000 0.8153 [1 per cell]  4 Be 2.61-2.62, 3 Zn 2.64-2.65, 2 Ag 2.81
4 Ag 0.7401 0.0000 0.4826 [1 per cell]  3 Be 2.53-2.75, 4 Zn 2.66, 2 Ag 2.81

***

First-principles (GGA-PBEsol) data for a geometry-optimized Ti2GaHgPb structure, as listed in the Alexandria database.

Values from the calculation:
The value obtained for the electronic total energy is -21.26 eV/f.u. The calculation puts the energy relative to the elements at 63 kJ per mole of atoms.

a = 4.7731 Å, b = 4.7731 Å, c = 5.1638 Å
α = 90.00°, β = 90.00°, γ = 90.00°
Last column: nearest neighbours and their distance in Å.
Space group P4/mmm (No. 123)
Symmetry-distinct sites (fractional):
1 Ti 0.0000 0.5000 0.0000 [2 per cell]  2 Ga 2.39
2 Ga 0.0000 0.0000 0.0000 [1 per cell]  4 Ti 2.39, 2 Pb 2.58
3 Hg 0.5000 0.5000 0.5000 [1 per cell]  4 Pb 3.38, 8 Ti 3.52
4 Pb 0.0000 0.0000 0.5000 [1 per cell]  2 Ga 2.58

***

First-principles (GGA-PBEsol) data for a geometry-optimized KIn2Ru structure, as listed in the Alexandria database.

Values from the calculation:
The value obtained for the electronic total energy is -15.61 eV/f.u. The calculation puts the energy relative to the elements at 40 kJ per mole of atoms.

a = 2.8936 Å, b = 5.9151 Å, c = 11.5617 Å
α = 90.00°, β = 90.00°, γ = 90.00°
Last column: nearest neighbours and their distance in Å.
Space group Immm (No. 71)
Symmetry-distinct sites (fractional):
1 K 0.0000 0.0000 0.0000 [2 per cell]  2 K 2.89
2 In 0.0000 0.5000 0.1946 [4 per cell]  2 Ru 2.67, 2 In 2.89
3 Ru 0.0000 0.0000 0.5000 [2 per cell]  4 In 2.67, 2 Ru 2.89

***

First-principles (GGA-PBEsol) data for a geometry-optimized La2ReMo structure, as listed in the Alexandria database.

Values from the calculation:
The energy above the most stable polymorph in this dataset is 0.261 eV/atom. The value obtained for the electronic total energy is -31.91 eV/f.u. The calculation puts the energy relative to the elements at 94 kJ per mole of atoms.

a = 3.3346 Å, b = 3.3346 Å, c = 27.4333 Å
α = 90.00°, β = 90.00°, γ = 120.00°
Last column: nearest neighbours and their distance in Å.
Space group R-3m (No. 166, hexagonal axes)
Symmetry-distinct sites (fractional):
1 La 0.0000 0.0000 0.2479 [6 per cell]  3 Re 2.94, 3 Mo 3.03
2 Re 0.0000 0.0000 0.5000 [3 per cell]  6 La 2.94
3 Mo 0.0000 0.0000 0.0000 [3 per cell]  6 La 3.03, 6 Mo 3.33

***

First-principles (GGA-PBEsol) data for a geometry-optimized SiAu structure, as listed in the Alexandria database.

Values from the calculation:
The calculation puts the formation energy from raw total energies at 0.026 eV per atom. The value obtained for the electronic total energy is -9.62 eV/f.u.

a = 3.2443 Å, b = 3.2443 Å, c = 21.5557 Å
α = 90.00°, β = 90.00°, γ = 120.00°
Last column: nearest neighbours and their distance in Å.
Space group R-3m (No. 166, hexagonal axes)
Symmetry-distinct sites (fractional):
1 Si 0.0000 0.0000 0.1266 [6 per cell]  3 Au 2.50, 3 Si 2.55
2 Au 0.0000 0.0000 0.3833 [6 per cell]  3 Si 2.50